A plane-wave DFT calculation with PBE was carried out for a relaxed Zn2CoRh3 crystal.

Properties
Calculated total energy   -5.49 eV/atom
D(E_F)   5.67 states/eV per cell
Formation energy   -0.20 eV per atom

abc: 2.970 2.970 9.229
angles: 90.00 90.00 90.00
Fractional coordinates of all 6 atoms:
Zn 0.000 0.000 0.167
Zn 0.000 0.000 0.833
Co 0.000 0.000 0.500
Rh 0.500 0.500 0.000
Rh 0.500 0.500 0.338
Rh 0.500 0.500 0.662